Below is a relaxed structure of RbCd4Au, with properties calculated at the PBE-GGA level.

## Properties
- D(E_F): 4.22 states/eV per cell
- Symmetry: Cmcm (63)
- Formation energy from the elements: -0.094 eV per atom
- Energy above the lowest structure with this stoichiometry: 0 meV/atom

Cell: 9.2258 9.2258 7.8399 Å, 90.00 90.00 149.99°
Fractional coordinates of all 12 atoms:
Rb: 0.1234 0.8766 0.7500
Rb: 0.8766 0.1234 0.2500
Cd: 0.0701 0.9299 0.2500
Cd: 0.3177 0.6823 0.5586
Cd: 0.3177 0.6823 0.9414
Cd: 0.5000 0.5000 0.0000
Cd: 0.5000 0.5000 0.5000
Cd: 0.6823 0.3177 0.0586
Cd: 0.6823 0.3177 0.4414
Cd: 0.9299 0.0701 0.7500
Au: 0.2299 0.7701 0.2500
Au: 0.7701 0.2299 0.7500


Below is a relaxed structure of RbCd3, with properties calculated at the PBE-GGA level.

## Properties
- D(E_F): 7.00 states/eV per cell
- Symmetry: I4/mmm (139)
- Formation energy from the elements: 0.199 eV per atom

Cell: 4.8136 4.8136 13.2589 Å, 90.00 90.00 90.00°
Fractional coordinates of all 8 atoms:
Rb: 0.0000 0.0000 0.0000
Rb: 0.5000 0.5000 0.5000
Cd: 0.0000 0.0000 0.2787
Cd: 0.0000 0.0000 0.5000
Cd: 0.0000 0.0000 0.7213
Cd: 0.5000 0.5000 0.0000
Cd: 0.5000 0.5000 0.2213
Cd: 0.5000 0.5000 0.7787


Below is a relaxed structure of LaTi2Mo, with properties calculated at the PBE-GGA level.

## Properties
- D(E_F): 25.60 states/eV per cell
- Symmetry: I-42d (122)
- Formation energy from the elements: 0.905 eV per atom
- Energy above the lowest structure with this stoichiometry: 815 meV/atom

Cell: 4.6744 4.6744 18.1994 Å, 90.00 90.00 90.00°
Fractional coordinates of all 16 atoms:
La: 0.0000 0.0000 0.0000
La: 0.0000 0.5000 0.2500
La: 0.5000 0.0000 0.7500
La: 0.5000 0.5000 0.5000
Ti: 0.0668 0.7500 0.6250
Ti: 0.2500 0.0668 0.3750
Ti: 0.2500 0.4332 0.8750
Ti: 0.4332 0.7500 0.1250
Ti: 0.5668 0.2500 0.1250
Ti: 0.7500 0.5668 0.8750
Ti: 0.7500 0.9332 0.3750
Ti: 0.9332 0.2500 0.6250
Mo: 0.0000 0.0000 0.5000
Mo: 0.0000 0.5000 0.7500
Mo: 0.5000 0.0000 0.2500
Mo: 0.5000 0.5000 0.0000


Below is a relaxed structure of Mg2MnBr, with properties calculated at the PBE-GGA level.

## Properties
- D(E_F): 2.71 states/eV per cell
- Symmetry: P2/m (10)
- Uncorrected formation energy: -0.12 eV per atom
- Energy above the lowest structure with this stoichiometry: 0 meV/atom

Cell: 3.4097 3.3043 7.9074 Å, 90.00 90.57 90.00°
Fractional coordinates of all 4 atoms:
Mg: 0.0064 0.0000 0.2153
Mg: 0.9936 0.0000 0.7847
Mn: 0.5000 0.5000 0.0000
Br: 0.0000 0.5000 0.5000


Below is a relaxed structure of Sc2ZnCdC, with properties calculated at the PBE-GGA level.

## Properties
- D(E_F): 3.34 states/eV per cell
- Symmetry: P4/mmm (123)
- Formation energy from the elements: 1.248 eV per atom
- Energy above the lowest structure with this stoichiometry: 1479 meV/atom

Cell: 5.4567 5.4567 3.9029 Å, 90.00 90.00 90.00°
Fractional coordinates of all 5 atoms:
Sc: 0.0000 0.5000 0.0000
Sc: 0.5000 0.0000 0.0000
Zn: 0.0000 0.0000 0.5000
Cd: 0.5000 0.5000 0.0000
C: 0.5000 0.5000 0.5000


Below is a relaxed structure of DySc2ZnRh4, with properties calculated at the PBE-GGA level.

## Properties
- D(E_F): 4.01 states/eV per cell
- Symmetry: R-3m (166)
- Formation energy from the elements: -0.849 eV per atom

Cell: 7.9497 7.9497 7.9497 Å, 33.26 33.26 33.26°
Fractional coordinates of all 8 atoms:
Dy: 0.0000 0.0000 0.0000
Sc: 0.2417 0.2417 0.2417
Sc: 0.7583 0.7583 0.7583
Zn: 0.5000 0.5000 0.5000
Rh: 0.1259 0.1259 0.1259
Rh: 0.3795 0.3795 0.3795
Rh: 0.6205 0.6205 0.6205
Rh: 0.8741 0.8741 0.8741